(1)
Crystalline Tb2DyHo at its relaxed geometry, computed with PBE.

Values from the calculation:
Offset from the most stable computed form, eV per atom: 0.009

a b c (Å): 3.5394 3.5394 11.7166
angles (deg): 81.31 81.31 60.00
Fractional positions:
Tb  0.7498  0.7498  0.7506
Tb  0.2502  0.2502  0.2494
Ho  0.0000  0.0000  0.0000
Dy  0.5000  0.5000  0.5000

(2)
Crystalline Th2AgGe at its relaxed geometry, computed with PBE.

Values from the calculation:
Offset from the most stable computed form, eV per atom: 0.000

a b c (Å): 4.2408 6.1758 8.5582
angles (deg): 110.52 90.00 90.00
Fractional positions:
Th  0.7500  0.2022  0.4203
Th  0.2500  0.7978  0.5797
Th  0.2500  0.7879  0.0700
Th  0.7500  0.2121  0.9300
Ag  0.2500  0.3635  0.2164
Ag  0.7500  0.6365  0.7836
Ge  0.7500  0.6675  0.2950
Ge  0.2500  0.3325  0.7050

(3)
Crystalline LaBeInPt2 at its relaxed geometry, computed with PBE.

a b c (Å): 5.2643 6.2912 5.2643
angles (deg): 90.00 90.00 90.00
Fractional positions:
Be  0.5000  0.5000  0.5000
In  0.0000  0.5000  0.0000
Pt  0.0000  0.0000  0.5000
Pt  0.5000  0.0000  0.0000
La  0.0000  0.0000  0.0000

(4)
Crystalline AcCe2Ta at its relaxed geometry, computed with PBE.

a b c (Å): 3.3126 3.3126 11.9185
angles (deg): 82.01 82.01 60.00
Fractional positions:
Ac  0.5000  0.5000  0.5000
Ce  0.0787  0.0787  0.7638
Ce  0.9213  0.9213  0.2362
Ta  0.0000  0.0000  0.0000

The records above give, respectively, energy of formation values of 0.017; -0.385; 1.169; 0.691 eV/atom.